Below is a geometry-optimized CrTcBr2 structure, with properties calculated at the GGA-PBE level.

Computed properties:
- Excess energy over the best structure of this formula in the dataset: 282 kJ/mol of formula units
- Formation energy from raw total energies: 0.7935 eV/atom

```
4
Lattice="4.654 0.000 0.000 0.000 4.654 0.000 0.000 0.000 3.339" Properties=species:S:1:pos:R:3 pbc="T T T"
Cr 0.000 0.000 0.000
Tc 2.327 2.327 0.000
Br 0.000 2.327 1.669
Br 2.327 0.000 1.669
```



Below is a geometry-optimized Nd3Dy6HoEr2 structure, with properties calculated at the GGA-PBE level.

Computed properties:
- E_form: 0.437 kcal/mol of atoms

```
12
Lattice="3.093 -5.355 0.000 3.093 5.355 0.000 -2.057 0.000 11.633" Properties=species:S:1:pos:R:3 pbc="T T T"
Nd 0.000 0.000 0.000
Nd 3.093 1.784 0.000
Nd 3.093 -1.784 0.000
Dy 1.032 1.786 2.960
Dy 0.004 0.000 8.672
Dy 1.032 -1.786 2.960
Dy 3.098 1.786 8.673
Dy 4.126 0.000 2.961
Dy 3.098 -1.786 8.673
Ho 2.065 0.000 5.817
Er 2.065 3.569 5.817
Er 2.065 -3.569 5.817
```



Below is a geometry-optimized SmDyY2 structure, with properties calculated at the GGA-PBE level.

Computed properties:
- Excess energy over the best structure of this formula in the dataset: 2 kJ/mol of formula units
- E_form: 0.330 kcal/mol of atoms

```
4
Lattice="1.801 1.040 11.562 -1.801 1.040 11.562 0.000 -2.080 11.562" Properties=species:S:1:pos:R:3 pbc="T T T"
Sm 0.000 0.000 0.000
Dy 0.000 0.000 28.930
Y 0.000 0.000 8.664
Y 0.000 0.000 14.499
```



Below is a geometry-optimized LiMg2Al4 structure, with properties calculated at the GGA-PBE level.

Computed properties:
- E_form: -0.540 kcal/mol of atoms

```
7
Lattice="4.679 -2.064 0.000 4.679 2.064 0.000 -0.816 0.000 6.600" Properties=species:S:1:pos:R:3 pbc="T T T"
Li 0.000 0.000 0.000
Mg 0.973 0.000 2.803
Mg 7.569 0.000 3.796
Al 1.916 0.000 5.726
Al 3.764 0.000 1.776
Al 4.778 0.000 4.824
Al 6.626 0.000 0.873
```